Density functional theory data (PBE+U) for crystalline FeSnSbO6 at its relaxed geometry.

E, eV per cell: -112.5

```
FeSnSbO6
1.0
5.254 0.000 0.000
-2.627 4.550 0.000
0.000 0.000 8.865
Fe Sn Sb O
2 2 2 12
Direct
0.000 0.000 0.000
0.000 0.000 0.500
0.333 0.667 0.250
0.667 0.333 0.750
0.333 0.667 0.750
0.667 0.333 0.250
0.011 0.342 0.627
0.011 0.669 0.873
0.331 0.342 0.873
0.331 0.989 0.627
0.342 0.011 0.127
0.342 0.331 0.373
0.658 0.669 0.627
0.658 0.989 0.873
0.669 0.011 0.373
0.669 0.658 0.127
0.989 0.331 0.127
0.989 0.658 0.373
```